Entry 1
The following is a PBE calculation of an optimized crystal structure of Rb2MgGa, from Alexandria.

Cell: 9.988 9.988 9.988 Å, 93.89 93.89 149.81°
Element x y z (fractional)
Rb (0.375, 0.194, 0.318)
Rb (0.806, 0.125, 0.182)
Rb (0.875, 0.056, 0.682)
Rb (0.944, 0.625, 0.818)
Mg (0.250, 0.750, 0.500)
Mg (0.500, 0.500, 0.000)
Ga (0.000, 0.000, 0.000)
Ga (0.750, 0.250, 0.500)

Results
Calculated density ... 1.82 g/cm3
SG ... I-42d


Entry 2
The following is a PBE calculation of an optimized crystal structure of Rb2MgGa, from Alexandria.

Cell: 6.311 6.311 6.311 Å, 60.00 60.00 60.00°
Element x y z (fractional)
Rb (0.250, 0.250, 0.250)
Rb (0.750, 0.750, 0.750)
Mg (0.000, 0.000, 0.000)
Ga (0.500, 0.500, 0.500)

Results
Calculated density ... 2.48 g/cm3
SG ... Fm-3m


Stability summary: most stable entry 1, least stable entry 2.


Entry 1
The following is a PBE calculation of an optimized crystal structure of RbMg6Ga, from Alexandria.

Cell: 5.099 6.678 6.678 Å, 69.02 90.00 90.00°
Element x y z (fractional)
Rb (0.000, 0.000, 0.000)
Mg (0.000, 0.513, 0.946)
Mg (0.000, 0.946, 0.513)
Mg (0.500, 0.251, 0.251)
Mg (0.500, 0.311, 0.704)
Mg (0.500, 0.704, 0.311)
Mg (0.500, 0.767, 0.767)
Ga (0.000, 0.423, 0.423)

Results
Calculated density ... 2.35 g/cm3
SG ... Amm2


Entry 2
The following is a PBE calculation of an optimized crystal structure of RbMg6Ga, from Alexandria.

Cell: 5.058 6.691 6.691 Å, 72.83 90.00 90.00°
Element x y z (fractional)
Rb (0.000, 0.000, 0.000)
Mg (0.000, 0.085, 0.476)
Mg (0.000, 0.476, 0.085)
Mg (0.000, 0.568, 0.568)
Mg (0.500, 0.279, 0.665)
Mg (0.500, 0.665, 0.279)
Mg (0.500, 0.742, 0.742)
Ga (0.500, 0.230, 0.230)

Results
Calculated density ... 2.31 g/cm3
SG ... Amm2


Stability summary: most stable entry 2, least stable entry 1.


Entry 1
The following is a PBE calculation of an optimized crystal structure of RbMg2GaTe, from Alexandria.

Cell: 5.654 5.654 6.427 Å, 90.00 90.00 90.00°
Element x y z (fractional)
Rb (0.000, 0.000, 0.000)
Mg (0.000, 0.500, 0.500)
Mg (0.500, 0.000, 0.500)
Ga (0.500, 0.500, 0.000)
Te (0.500, 0.500, 0.500)

Results
Calculated density ... 2.68 g/cm3
SG ... P4/mmm


Entry 2
The following is a PBE calculation of an optimized crystal structure of RbMg2GaTe, from Alexandria.

Cell: 5.613 5.613 6.663 Å, 90.00 90.00 90.00°
Element x y z (fractional)
Rb (0.000, 0.000, 0.000)
Mg (0.000, 0.500, 0.500)
Mg (0.500, 0.000, 0.500)
Ga (0.500, 0.500, 0.000)
Te (0.000, 0.000, 0.500)

Results
Calculated density ... 2.62 g/cm3
SG ... P4/mmm


Entry 3
The following is a PBE calculation of an optimized crystal structure of RbMg2GaTe, from Alexandria.

Cell: 6.201 6.201 6.187 Å, 90.00 90.00 90.00°
Element x y z (fractional)
Rb (0.000, 0.000, 0.000)
Mg (0.000, 0.500, 0.000)
Mg (0.500, 0.000, 0.000)
Ga (0.000, 0.000, 0.500)
Te (0.500, 0.500, 0.500)

Results
Calculated density ... 2.31 g/cm3
SG ... P4/mmm


Stability summary: most stable entry 1, least stable entry 3.


Entry 1
The following is a PBE calculation of an optimized crystal structure of MgGa4Rh2, from Alexandria.

Cell: 8.816 8.816 2.968 Å, 90.00 90.00 90.00°
Element x y z (fractional)
Mg (0.000, 0.000, 0.000)
Mg (0.500, 0.500, 0.500)
Ga (0.070, 0.305, 0.500)
Ga (0.195, 0.570, 0.000)
Ga (0.305, 0.070, 0.500)
Ga (0.430, 0.805, 0.000)
Ga (0.570, 0.195, 0.000)
Ga (0.695, 0.930, 0.500)
Ga (0.805, 0.430, 0.000)
Ga (0.930, 0.695, 0.500)
Rh (0.192, 0.808, 0.500)
Rh (0.308, 0.308, 0.000)
Rh (0.692, 0.692, 0.000)
Rh (0.808, 0.192, 0.500)

Results
Calculated density ... 7.33 g/cm3
SG ... P4_2/mnm


Entry 2
The following is a PBE calculation of an optimized crystal structure of MgGa4Rh2, from Alexandria.

Cell: 7.241 7.241 7.241 Å, 141.24 141.24 55.98°
Element x y z (fractional)
Mg (0.000, 0.000, 0.000)
Ga (0.000, 0.500, 0.500)
Ga (0.213, 0.213, 0.000)
Ga (0.500, 0.000, 0.500)
Ga (0.787, 0.787, 0.000)
Rh (0.400, 0.400, 0.000)
Rh (0.600, 0.600, 0.000)

Results
Calculated density ... 5.72 g/cm3
SG ... I4/mmm


Stability summary: most stable entry 1, least stable entry 2.


Entry 1
The following is a PBE calculation of an optimized crystal structure of MgGa3Rh, from Alexandria.

Cell: 6.249 6.249 6.589 Å, 120.53 120.53 75.21°
Element x y z (fractional)
Mg (0.043, 0.043, 0.271)
Mg (0.957, 0.957, 0.729)
Ga (0.122, 0.501, 0.875)
Ga (0.406, 0.406, 0.647)
Ga (0.499, 0.878, 0.125)
Ga (0.501, 0.122, 0.875)
Ga (0.594, 0.594, 0.353)
Ga (0.878, 0.499, 0.125)
Rh (0.286, 0.286, 0.181)
Rh (0.714, 0.714, 0.819)

Results
Calculated density ... 5.85 g/cm3
SG ... C2/m


Entry 2
The following is a PBE calculation of an optimized crystal structure of MgGa3Rh, from Alexandria.

Cell: 6.606 5.732 9.188 Å, 90.00 103.65 90.00°
Element x y z (fractional)
Mg (0.169, 0.062, 0.254)
Mg (0.169, 0.438, 0.754)
Mg (0.831, 0.562, 0.246)
Mg (0.831, 0.938, 0.746)
Ga (0.061, 0.718, 0.030)
Ga (0.061, 0.782, 0.530)
Ga (0.277, 0.561, 0.367)
Ga (0.277, 0.939, 0.867)
Ga (0.379, 0.154, 0.563)
Ga (0.379, 0.346, 0.063)
Ga (0.621, 0.654, 0.937)
Ga (0.621, 0.846, 0.437)
Ga (0.723, 0.061, 0.133)
Ga (0.723, 0.439, 0.633)
Ga (0.939, 0.218, 0.470)
Ga (0.939, 0.282, 0.970)
Rh (0.453, 0.737, 0.665)
Rh (0.453, 0.763, 0.165)
Rh (0.547, 0.237, 0.835)
Rh (0.547, 0.263, 0.335)

Results
Calculated density ... 6.61 g/cm3
SG ... P2_1/c


Stability summary: most stable entry 2, least stable entry 1.


Entry 1
The following is a PBE calculation of an optimized crystal structure of MgGa3Rh2, from Alexandria.

Cell: 6.152 6.152 5.711 Å, 90.00 90.00 86.70°
Element x y z (fractional)
Mg (0.011, 0.989, 0.750)
Mg (0.989, 0.011, 0.250)
Ga (0.006, 0.507, 0.250)
Ga (0.493, 0.994, 0.250)
Ga (0.495, 0.505, 0.750)
Ga (0.505, 0.495, 0.250)
Ga (0.507, 0.006, 0.750)
Ga (0.994, 0.493, 0.750)
Rh (0.264, 0.264, 0.000)
Rh (0.264, 0.264, 0.500)
Rh (0.736, 0.736, 0.000)
Rh (0.736, 0.736, 0.500)

Results
Calculated density ... 6.76 g/cm3
SG ... Cmcm


Entry 2
The following is a PBE calculation of an optimized crystal structure of MgGa3Rh2, from Alexandria.

Cell: 5.900 5.900 6.366 Å, 90.00 90.00 120.00°
Element x y z (fractional)
Mg (0.333, 0.667, 0.175)
Mg (0.667, 0.333, 0.825)
Ga (0.166, 0.332, 0.805)
Ga (0.166, 0.834, 0.805)
Ga (0.332, 0.166, 0.195)
Ga (0.668, 0.834, 0.805)
Ga (0.834, 0.166, 0.195)
Ga (0.834, 0.668, 0.195)
Rh (0.000, 0.000, 0.500)
Rh (0.000, 0.500, 0.500)
Rh (0.500, 0.000, 0.500)
Rh (0.500, 0.500, 0.500)

Results
Calculated density ... 7.60 g/cm3
SG ... P-3m1


Stability summary: most stable entry 1, least stable entry 2.